## NbRu2F (PBE)

Data for a relaxed NbRu2F crystal.

Output
density of states at the Fermi level = 12.76 states/eV/cell
E_form (uncorrected) = 120 meV per atom
total magnetic moment = 0.00 Bohr magnetons per cell

Unit cell a=6.8225 b=6.8225 c=4.9890 alpha=90.00 beta=90.00 gamma=90.00
Closest atoms and distances in Å follow each position.
Space group I-42d (No. 122)
Unique sites:
Nb  0.0000  0.0000  0.0000  2 F 2.49, 4 Ru 2.68
Ru  0.2114  0.7500  0.6250  2 F 2.32, 2 Ru 2.55
F  0.0000  0.0000  0.5000  4 Ru 2.32, 2 Nb 2.49


## LaGaCl3 (PBE)

Data for a relaxed LaGaCl3 crystal.

Output
density of states at the Fermi level = 8.52 states/eV/cell
E_form (uncorrected) = -885 meV per atom
total magnetic moment = 1.12 Bohr magnetons per cell

Unit cell a=5.1867 b=5.1867 c=5.1867 alpha=90.00 beta=90.00 gamma=90.00
Closest atoms and distances in Å follow each position.
Space group Pm-3m (No. 221)
Unique sites:
La  0.0000  0.0000  0.0000  12 Cl 3.67
Ga  0.5000  0.5000  0.5000  6 Cl 2.59
Cl  0.0000  0.5000  0.5000  2 Ga 2.59


## SrSn2Au3 (PBE)

Data for a relaxed SrSn2Au3 crystal.

Output
formation enthalpy at 0 K = -2.58 eV/f.u.
density of states at the Fermi level = 12.05 states/eV/cell
total magnetic moment = 0.00 Bohr magnetons per cell

Unit cell a=17.1057 b=4.9997 c=7.7381 alpha=90.00 beta=116.83 gamma=90.00
Closest atoms and distances in Å follow each position.
Space group C2/m (No. 12)
Unique sites:
Sr  0.1379  0.0000  0.1380  8 Au 3.19-3.37
Sn  0.9998  0.5000  0.1935  4 Au 2.69-2.92, 1 Sn 3.00
Sn  0.1749  0.0000  0.6743  8 Au 2.99-3.06
Au  0.0000  0.0000  0.3222  4 Sn 2.69-3.00, 1 Au 2.75
Au  0.1868  0.5000  0.4621  4 Sn 2.92-3.05, 2 Au 3.18, 1 Sr 3.19
Au  0.1870  0.5000  0.9142  4 Sn 2.92-3.06, 2 Au 3.17, 1 Sr 3.20


## BaCaCr3 (PBE)

Data for a relaxed BaCaCr3 crystal.

Output
formation enthalpy at 0 K = 9.49 eV/f.u.
density of states at the Fermi level = 6.06 states/eV/cell
total magnetic moment = 10.54 Bohr magnetons per cell

Unit cell a=5.2682 b=5.2682 c=5.2682 alpha=90.00 beta=90.00 gamma=90.00
Closest atoms and distances in Å follow each position.
Space group Pm-3m (No. 221)
Unique sites:
Ba  0.0000  0.0000  0.0000  6 Cr 2.63
Ca  0.5000  0.5000  0.5000  12 Cr 3.73
Cr  0.0000  0.0000  0.5000  2 Ba 2.63


## Sr2ZnAs (PBE)

Data for a relaxed Sr2ZnAs crystal.

Output
formation enthalpy at 0 K = -2.35 eV/f.u.
density of states at the Fermi level = 14.06 states/eV/cell
total magnetic moment = 0.00 Bohr magnetons per cell

Unit cell a=7.7269 b=7.7269 c=7.7269 alpha=90.00 beta=90.00 gamma=90.00
Closest atoms and distances in Å follow each position.
Space group Fm-3m (No. 225)
Unique sites:
Sr  0.2500  0.2500  0.2500  4 As 3.35, 4 Zn 3.35
Zn  0.0000  0.0000  0.0000  8 Sr 3.35
As  0.0000  0.0000  0.5000  8 Sr 3.35


## Ba2ScCd (PBE)

Data for a relaxed Ba2ScCd crystal.

Output
formation enthalpy at 0 K = 0.66 eV/f.u.
density of states at the Fermi level = 16.07 states/eV/cell
total magnetic moment = 2.63 Bohr magnetons per cell

Unit cell a=4.0281 b=4.0281 c=34.5830 alpha=90.00 beta=90.00 gamma=120.00
Closest atoms and distances in Å follow each position.
Space group R3m (No. 160, hexagonal axes)
Unique sites:
Ba  0.0000  0.0000  0.0000  3 Cd 3.57
Ba  0.0000  0.0000  0.2208  3 Sc 3.79, 6 Ba 4.03
Sc  0.0000  0.0000  0.4675  3 Cd 3.02
Cd  0.0000  0.0000  0.7452  3 Sc 3.02


## ZrTa2Al (PBE)

Data for a relaxed ZrTa2Al crystal.

Output
formation enthalpy at 0 K = 0.11 eV/f.u.
density of states at the Fermi level = 6.18 states/eV/cell
total magnetic moment = 0.00 Bohr magnetons per cell

Unit cell a=5.8345 b=8.8804 c=2.9231 alpha=90.00 beta=90.00 gamma=90.00
Closest atoms and distances in Å follow each position.
Space group Cmmm (No. 65)
Unique sites:
Zr  0.0000  0.0000  0.0000  2 Al 2.92, 2 Zr 2.92, 8 Ta 3.03
Ta  0.2500  0.2500  0.5000  4 Ta 2.92, 4 Zr 3.03, 4 Al 3.03
Al  0.0000  0.5000  0.0000  2 Zr 2.92, 2 Al 2.92, 8 Ta 3.03


## AcPmCdAu (PBE)

Data for a relaxed AcPmCdAu crystal.

Output
formation enthalpy at 0 K = -1.93 eV/f.u.
density of states at the Fermi level = 12.35 states/eV/cell
total magnetic moment = 0.01 Bohr magnetons per cell

Unit cell a=7.7625 b=7.7625 c=7.7625 alpha=90.00 beta=90.00 gamma=90.00
Closest atoms and distances in Å follow each position.
Space group F-43m (No. 216)
Unique sites:
Ac  0.0000  0.0000  0.0000  4 Cd 3.36, 4 Au 3.36
Pm  0.0000  0.0000  0.5000  4 Au 3.36, 4 Cd 3.36
Cd  0.2500  0.2500  0.7500  4 Ac 3.36, 4 Pm 3.36
Au  0.2500  0.2500  0.2500  4 Ac 3.36, 4 Pm 3.36


## LiP2AuF (PBE)

Data for a relaxed LiP2AuF crystal.

Output
density of states at the Fermi level = 2.74 states/eV/cell
E_form (uncorrected) = 489 meV per atom
total magnetic moment = 0.00 Bohr magnetons per cell

Unit cell a=4.2064 b=4.2064 c=4.5680 alpha=90.00 beta=90.00 gamma=90.00
Closest atoms and distances in Å follow each position.
Space group P4/mmm (No. 123)
Unique sites:
Li  0.0000  0.0000  0.0000  4 P 2.10, 2 Au 2.28
P  0.0000  0.5000  0.0000  2 Li 2.10
Au  0.0000  0.0000  0.5000  2 Li 2.28
F  0.5000  0.5000  0.5000  4 Au 2.97, 8 P 3.10


## Tl3ZnRu (PBE)

Data for a relaxed Tl3ZnRu crystal.

Output
formation enthalpy at 0 K = 1.65 eV/f.u.
density of states at the Fermi level = 2.42 states/eV/cell
total magnetic moment = 0.00 Bohr magnetons per cell

Unit cell a=5.3133 b=5.3133 c=5.3133 alpha=90.00 beta=90.00 gamma=90.00
Closest atoms and distances in Å follow each position.
Space group Pm-3m (No. 221)
Unique sites:
Tl  0.0000  0.0000  0.5000  2 Ru 2.66
Zn  0.5000  0.5000  0.5000  12 Tl 3.76
Ru  0.0000  0.0000  0.0000  6 Tl 2.66


## La5TbPr2Sm (PBE)

Data for a relaxed La5TbPr2Sm crystal.

Output
formation enthalpy at 0 K = 2.29 eV/f.u.
density of states at the Fermi level = 67.42 states/eV/cell
total magnetic moment = 0.00 Bohr magnetons per cell

Unit cell a=8.9918 b=8.9918 c=16.1111 alpha=90.00 beta=90.00 gamma=90.00
Closest atoms and distances in Å follow each position.
Space group I4/mcm (No. 140)
Unique sites:
La  0.0000  0.0000  0.0000  4 Pr 3.59, 8 La 3.94
La  0.2092  0.2908  0.1412  1 Pr 3.16, 1 Tb 3.19
Tb  0.0000  0.5000  0.2500  4 La 3.19
Pr  0.1183  0.3817  0.5000  1 Pr 3.01, 2 La 3.16
Sm  0.0000  0.0000  0.2500  10 La 3.67-4.03


## CrRh5 (PBE)

Data for a relaxed CrRh5 crystal.

Output
formation enthalpy at 0 K = -0.39 eV/f.u.
density of states at the Fermi level = 12.87 states/eV/cell
total magnetic moment = 0.49 Bohr magnetons per cell

Unit cell a=9.9263 b=2.6998 c=6.3717 alpha=90.00 beta=104.44 gamma=90.00
Closest atoms and distances in Å follow each position.
Space group Cm (No. 8)
Unique sites:
Cr  0.0000  0.0000  0.0000  10 Rh 2.61-2.76, 2 Cr 2.70
Rh  0.0536  0.0000  0.6175  1 Cr 2.62, 11 Rh 2.66-2.75
Rh  0.1633  0.5000  0.3313  10 Rh 2.60-2.82, 2 Cr 2.68
Rh  0.2157  0.5000  0.9516  9 Rh 2.60-2.70, 3 Cr 2.61-2.76
Rh  0.3380  0.0000  0.6855  2 Cr 2.61, 10 Rh 2.66-2.82
Rh  0.3921  0.0000  0.2716  10 Rh 2.62-2.82, 2 Cr 2.62